Here is an optimized crystal structure of Na2YCuN from the Alexandria database. Energies are from PBE.

Unit cell a=6.445 b=6.445 c=4.150 alpha=90.00 beta=90.00 gamma=90.00
Atoms (fractional coordinates):
Na 0.000 0.500 0.000
Na 0.500 0.000 0.000
Y 0.000 0.000 0.000
Cu 0.500 0.500 0.500
N 0.000 0.000 0.500

Properties
The total energy comes out at -17.930 eV/cell. As for the uncorrected formation energy: 3.6 eV per formula unit. The volume is 172.40 Å³/f.u.

***

Here is an optimized crystal structure of Nb4CuN from the Alexandria database. Energies are from PBE.

Unit cell a=6.923 b=4.864 c=6.371 alpha=90.00 beta=112.98 gamma=90.00
Atoms (fractional coordinates):
Nb 0.144 0.238 0.310
Nb 0.144 0.262 0.810
Nb 0.252 0.710 0.110
Nb 0.252 0.790 0.610
Nb 0.748 0.210 0.390
Nb 0.748 0.290 0.890
Nb 0.856 0.738 0.190
Nb 0.856 0.762 0.690
Cu 0.500 0.000 0.000
Cu 0.500 0.500 0.500
N 0.000 0.000 0.000
N 0.000 0.500 0.500

Properties
The total energy comes out at -106.240 eV/cell. As for the uncorrected formation energy: -0.4 eV per formula unit. The volume is 98.76 Å³/f.u.

***

Here is an optimized crystal structure of NbCu3N from the Alexandria database. Energies are from PBE.

Unit cell a=4.745 b=4.745 c=4.745 alpha=90.00 beta=90.00 gamma=90.00
Atoms (fractional coordinates):
Nb 0.000 0.000 0.000
Cu 0.000 0.000 0.500
Cu 0.000 0.500 0.000
Cu 0.500 0.000 0.000
N 0.500 0.500 0.500

Properties
The total energy comes out at -17.309 eV/cell. As for the uncorrected formation energy: 13.4 eV per formula unit. For the distance to the lowest polymorph of the same formula, the calculation gives 10.18 eV per formula unit. The volume is 106.84 Å³/f.u.

***

Here is an optimized crystal structure of NbCuN2 from the Alexandria database. Energies are from PBE.

Unit cell a=4.634 b=4.634 c=9.534 alpha=90.00 beta=90.00 gamma=90.00
Atoms (fractional coordinates):
Nb 0.000 0.000 0.000
Nb 0.000 0.500 0.250
Nb 0.500 0.000 0.750
Nb 0.500 0.500 0.500
Cu 0.000 0.000 0.500
Cu 0.000 0.500 0.750
Cu 0.500 0.000 0.250
Cu 0.500 0.500 0.000
N 0.234 0.250 0.125
N 0.250 0.734 0.375
N 0.250 0.766 0.875
N 0.266 0.250 0.625
N 0.734 0.750 0.625
N 0.750 0.234 0.875
N 0.750 0.266 0.375
N 0.766 0.750 0.125

Properties
The total energy comes out at -129.183 eV/cell. As for the uncorrected formation energy: -1.5 eV per formula unit. For the distance to the lowest polymorph of the same formula, the calculation gives 0.00 eV per formula unit. The volume is 51.17 Å³/f.u.

***

Here is an optimized crystal structure of NbCu3N from the Alexandria database. Energies are from PBE.

Unit cell a=3.971 b=3.971 c=3.971 alpha=90.00 beta=90.00 gamma=90.00
Atoms (fractional coordinates):
Nb 0.000 0.000 0.000
Cu 0.000 0.500 0.500
Cu 0.500 0.000 0.500
Cu 0.500 0.500 0.000
N 0.500 0.500 0.500

Properties
The total energy comes out at -27.490 eV/cell. As for the uncorrected formation energy: 3.2 eV per formula unit. For the distance to the lowest polymorph of the same formula, the calculation gives 0.00 eV per formula unit. The volume is 62.60 Å³/f.u.

***

Here is an optimized crystal structure of NbCuN2 from the Alexandria database. Energies are from PBE.

Unit cell a=3.166 b=3.166 c=17.579 alpha=90.00 beta=90.00 gamma=120.00
Atoms (fractional coordinates):
Nb 0.000 0.000 0.000
Nb 0.333 0.667 0.667
Nb 0.667 0.333 0.333
Cu 0.000 0.000 0.500
Cu 0.333 0.667 0.167
Cu 0.667 0.333 0.833
N 0.000 0.000 0.395
N 0.000 0.000 0.605
N 0.333 0.667 0.062
N 0.333 0.667 0.272
N 0.667 0.333 0.728
N 0.667 0.333 0.938

Properties
The total energy comes out at -96.862 eV/cell. As for the uncorrected formation energy: -1.5 eV per formula unit. For the distance to the lowest polymorph of the same formula, the calculation gives 0.01 eV per formula unit. The volume is 50.85 Å³/f.u.

***

Here is an optimized crystal structure of NbCuN2 from the Alexandria database. Energies are from PBE.

Unit cell a=5.367 b=5.367 c=5.367 alpha=90.00 beta=90.00 gamma=90.00
Atoms (fractional coordinates):
Nb 0.000 0.000 0.000
Nb 0.000 0.500 0.500
Nb 0.500 0.000 0.500
Nb 0.500 0.500 0.000
Cu 0.000 0.000 0.500
Cu 0.000 0.500 0.000
Cu 0.500 0.000 0.000
Cu 0.500 0.500 0.500
N 0.250 0.250 0.250
N 0.250 0.250 0.750
N 0.250 0.750 0.250
N 0.250 0.750 0.750
N 0.750 0.250 0.250
N 0.750 0.250 0.750
N 0.750 0.750 0.250
N 0.750 0.750 0.750

Properties
The total energy comes out at -117.812 eV/cell. As for the uncorrected formation energy: 1.4 eV per formula unit. For the distance to the lowest polymorph of the same formula, the calculation gives 2.84 eV per formula unit. The volume is 38.65 Å³/f.u.

***

Here is an optimized crystal structure of Nb2CuN from the Alexandria database. Energies are from PBE.

Unit cell a=5.140 b=5.140 c=10.375 alpha=90.00 beta=90.00 gamma=90.00
Atoms (fractional coordinates):
Nb 0.169 0.250 0.125
Nb 0.250 0.669 0.375
Nb 0.250 0.831 0.875
Nb 0.331 0.250 0.625
Nb 0.669 0.750 0.625
Nb 0.750 0.169 0.875
Nb 0.750 0.331 0.375
Nb 0.831 0.750 0.125
Cu 0.000 0.000 0.500
Cu 0.000 0.500 0.750
Cu 0.500 0.000 0.250
Cu 0.500 0.500 0.000
N 0.000 0.000 0.000
N 0.000 0.500 0.250
N 0.500 0.000 0.750
N 0.500 0.500 0.500

Properties
The total energy comes out at -128.340 eV/cell. As for the uncorrected formation energy: 0.5 eV per formula unit. The volume is 68.52 Å³/f.u.

***

The lowest volume belongs to which entry? number 7